[1]
# K4CaAu | the Alexandria database | GGA-PBE | relaxed
# final energy = -1.319 eV/atom
# energy of formation from the pure elements = 0.29 eV/atom
# total magnetic moment = 0.00 μB/f.u.
data_K4CaAu
_chemical_formula_sum 'K16 Ca4 Au4'
_space_group_name_H-M_alt 'F -4 3 m'
_space_group_IT_number 216
_space_group_name_Hall 'F -4 2 3'
_cell_length_a 10.7663
_cell_length_b 10.7663
_cell_length_c 10.7663
_cell_angle_alpha 90.00
_cell_angle_beta 90.00
_cell_angle_gamma 90.00
loop_
_atom_site_label
_atom_site_type_symbol
_atom_site_fract_x
_atom_site_fract_y
_atom_site_fract_z
K1 K 0.1240 0.1240 0.1240
Ca1 Ca 0.0000 0.0000 0.5000
Au1 Au 0.2500 0.2500 0.7500

***

[2]
# KCaAu10 | the Alexandria database | GGA-PBE | relaxed
# final energy = -3.302 eV/atom
# energy of formation from the pure elements = -0.31 eV/atom
# total magnetic moment = 0.00 μB/f.u.
data_KCaAu10
_chemical_formula_sum 'K1 Ca1 Au10'
_space_group_name_H-M_alt 'P m m m'
_space_group_IT_number 47
_cell_length_a 4.6418
_cell_length_b 5.6512
_cell_length_c 9.9291
_cell_angle_alpha 90.00
_cell_angle_beta 90.00
_cell_angle_gamma 90.00
loop_
_space_group_symop_operation_xyz
'x,y,z'
'-x,-y,-z'
'-x,-y,z'
'x,y,-z'
'x,-y,-z'
'-x,y,z'
'-x,y,-z'
'x,-y,z'
loop_
_atom_site_label
_atom_site_type_symbol
_atom_site_fract_x
_atom_site_fract_y
_atom_site_fract_z
K1 K 0.0000 0.0000 0.0000
Ca1 Ca 0.0000 0.5000 0.5000
Au1 Au 0.0000 0.0000 0.3393
Au2 Au 0.0000 0.5000 0.1746
Au3 Au 0.5000 0.0000 0.5000
Au4 Au 0.5000 0.2525 0.2544
Au5 Au 0.5000 0.5000 0.0000

***

[3]
# K2CaAu | the Alexandria database | GGA-PBE | relaxed
# final energy = -2.133 eV/atom
# energy of formation from the pure elements = -0.26 eV/atom
# energy above the lowest structure with this stoichiometry = 0.0 meV per atom
# total magnetic moment = 0.00 μB/f.u.
data_K2CaAu
_chemical_formula_sum 'K2 Ca1 Au1'
_space_group_name_H-M_alt 'P 1 m 1'
_space_group_IT_number 6
_cell_length_a 4.3044
_cell_length_b 4.1418
_cell_length_c 10.3966
_cell_angle_alpha 90.00
_cell_angle_beta 101.91
_cell_angle_gamma 90.00
loop_
_space_group_symop_operation_xyz
'x,y,z'
'x,-y,z'
loop_
_atom_site_label
_atom_site_type_symbol
_atom_site_fract_x
_atom_site_fract_y
_atom_site_fract_z
K1 K 0.0000 0.0000 0.0000
K2 K 0.3153 0.5000 0.6293
Ca1 Ca 0.6502 0.5000 0.2972
Au1 Au 0.1753 0.0000 0.3474

***

[4]
# KCaAu | the Alexandria database | GGA-PBE | relaxed
# final energy = -2.491 eV/atom
# energy of formation from the pure elements = -0.37 eV/atom
# energy above the lowest structure with this stoichiometry = 64.2 meV per atom
# total magnetic moment = 0.00 μB/f.u.
data_KCaAu
_chemical_formula_sum 'K2 Ca2 Au2'
_space_group_name_H-M_alt 'I 4 m m'
_space_group_IT_number 107
_space_group_name_Hall 'I 4 -2'
_cell_length_a 3.8742
_cell_length_b 3.8742
_cell_length_c 14.4861
_cell_angle_alpha 90.00
_cell_angle_beta 90.00
_cell_angle_gamma 90.00
loop_
_atom_site_label
_atom_site_type_symbol
_atom_site_fract_x
_atom_site_fract_y
_atom_site_fract_z
K1 K 0.0000 0.0000 0.0000
Ca1 Ca 0.0000 0.0000 0.7443
Au1 Au 0.0000 0.0000 0.3352

***

[5]
# K2CaAu | the Alexandria database | GGA-PBE | relaxed
# final energy = -1.874 eV/atom
# energy of formation from the pure elements = -0.01 eV/atom
# energy above the lowest structure with this stoichiometry = 259.7 meV per atom
# total magnetic moment = 0.00 μB/f.u.
data_K2CaAu
_chemical_formula_sum 'K4 Ca2 Au2'
_space_group_name_H-M_alt 'I -4 m 2'
_space_group_IT_number 119
_space_group_name_Hall 'I -4 -2'
_cell_length_a 5.8284
_cell_length_b 5.8284
_cell_length_c 8.3306
_cell_angle_alpha 90.00
_cell_angle_beta 90.00
_cell_angle_gamma 90.00
loop_
_atom_site_label
_atom_site_type_symbol
_atom_site_fract_x
_atom_site_fract_y
_atom_site_fract_z
K1 K 0.0000 0.0000 0.0000
K2 K 0.0000 0.5000 0.2500
Ca1 Ca 0.0000 0.0000 0.5000
Au1 Au 0.0000 0.5000 0.7500

***

[6]
# K2CaAu | the Alexandria database | GGA-PBE | relaxed
# final energy = -1.786 eV/atom
# energy of formation from the pure elements = 0.08 eV/atom
# energy above the lowest structure with this stoichiometry = 347.0 meV per atom
# total magnetic moment = 0.00 μB/f.u.
data_K2CaAu
_chemical_formula_sum 'K4 Ca2 Au2'
_space_group_name_H-M_alt 'C 1 2/m 1'
_space_group_IT_number 12
_cell_length_a 6.6092
_cell_length_b 12.1380
_cell_length_c 4.1620
_cell_angle_alpha 90.00
_cell_angle_beta 109.01
_cell_angle_gamma 90.00
loop_
_space_group_symop_operation_xyz
'x,y,z'
'-x,-y,-z'
'-x,y,-z'
'x,-y,z'
'x+1/2,y+1/2,z'
'-x+1/2,-y+1/2,-z'
'-x+1/2,y+1/2,-z'
'x+1/2,-y+1/2,z'
loop_
_atom_site_label
_atom_site_type_symbol
_atom_site_fract_x
_atom_site_fract_y
_atom_site_fract_z
K1 K 0.2500 0.2500 0.0000
Ca1 Ca 0.0000 0.0000 0.5000
Au1 Au 0.0000 0.5000 0.5000

***

[7]
# K2CaAu | the Alexandria database | GGA-PBE | relaxed
# final energy = -1.994 eV/atom
# energy of formation from the pure elements = -0.13 eV/atom
# energy above the lowest structure with this stoichiometry = 139.6 meV per atom
# total magnetic moment = 0.00 μB/f.u.
data_K2CaAu
_chemical_formula_sum 'K2 Ca1 Au1'
_space_group_name_H-M_alt 'P 1 2/m 1'
_space_group_IT_number 10
_cell_length_a 5.9838
_cell_length_b 4.4987
_cell_length_c 7.7253
_cell_angle_alpha 90.00
_cell_angle_beta 112.71
_cell_angle_gamma 90.00
loop_
_space_group_symop_operation_xyz
'x,y,z'
'-x,-y,-z'
'-x,y,-z'
'x,-y,z'
loop_
_atom_site_label
_atom_site_type_symbol
_atom_site_fract_x
_atom_site_fract_y
_atom_site_fract_z
K1 K 0.1618 0.0000 0.3237
Ca1 Ca 0.5000 0.5000 0.0000
Au1 Au 0.0000 0.5000 0.0000

***

[8]
# KCa4Au5 | the Alexandria database | GGA-PBE | relaxed
# final energy = -3.242 eV/atom
# energy of formation from the pure elements = -0.69 eV/atom
# total magnetic moment = 0.00 μB/f.u.
data_KCa4Au5
_chemical_formula_sum 'K1 Ca4 Au5'
_space_group_name_H-M_alt 'P 4/m m m'
_space_group_IT_number 123
_space_group_name_Hall '-P 4 2'
_cell_length_a 3.7091
_cell_length_b 3.7091
_cell_length_c 18.6367
_cell_angle_alpha 90.00
_cell_angle_beta 90.00
_cell_angle_gamma 90.00
loop_
_atom_site_label
_atom_site_type_symbol
_atom_site_fract_x
_atom_site_fract_y
_atom_site_fract_z
K1 K 0.0000 0.0000 0.0000
Ca1 Ca 0.0000 0.0000 0.2141
Ca2 Ca 0.0000 0.0000 0.4043
Au1 Au 0.5000 0.5000 0.1295
Au2 Au 0.5000 0.5000 0.3088
Au3 Au 0.5000 0.5000 0.5000

***

[9]
# K2CaAu | the Alexandria database | GGA-PBE | relaxed
# final energy = -2.077 eV/atom
# energy of formation from the pure elements = -0.21 eV/atom
# energy above the lowest structure with this stoichiometry = 56.6 meV per atom
# total magnetic moment = 0.00 μB/f.u.
data_K2CaAu
_chemical_formula_sum 'K4 Ca2 Au2'
_space_group_name_H-M_alt 'C 1 m 1'
_space_group_IT_number 8
_cell_length_a 10.2064
_cell_length_b 4.1979
_cell_length_c 9.1728
_cell_angle_alpha 90.00
_cell_angle_beta 107.22
_cell_angle_gamma 90.00
loop_
_space_group_symop_operation_xyz
'x,y,z'
'x,-y,z'
'x+1/2,y+1/2,z'
'x+1/2,-y+1/2,z'
loop_
_atom_site_label
_atom_site_type_symbol
_atom_site_fract_x
_atom_site_fract_y
_atom_site_fract_z
K1 K 0.0000 0.0000 0.0000
K2 K 0.1651 0.0000 0.6157
Ca1 Ca 0.3104 0.5000 0.3077
Au1 Au 0.0160 0.5000 0.3078

***

[10]
# KCaMg2Au | the Alexandria database | GGA-PBE | relaxed
# final energy = -2.107 eV/atom
# energy of formation from the pure elements = -0.19 eV/atom
# total magnetic moment = 0.00 μB/f.u.
data_KCaMg2Au
_chemical_formula_sum 'K1 Ca1 Mg2 Au1'
_space_group_name_H-M_alt 'P 4/m m m'
_space_group_IT_number 123
_space_group_name_Hall '-P 4 2'
_cell_length_a 5.3679
_cell_length_b 5.3679
_cell_length_c 5.7199
_cell_angle_alpha 90.00
_cell_angle_beta 90.00
_cell_angle_gamma 90.00
loop_
_atom_site_label
_atom_site_type_symbol
_atom_site_fract_x
_atom_site_fract_y
_atom_site_fract_z
K1 K 0.0000 0.0000 0.0000
Ca1 Ca 0.5000 0.5000 0.0000
Mg1 Mg 0.0000 0.5000 0.5000
Au1 Au 0.5000 0.5000 0.5000

***

[11]
# K2NaCaAu | the Alexandria database | GGA-PBE | relaxed
# final energy = -1.862 eV/atom
# energy of formation from the pure elements = -0.10 eV/atom
# energy above the lowest structure with this stoichiometry = 0.0 meV per atom
# total magnetic moment = 0.00 μB/f.u.
data_K2NaCaAu
_chemical_formula_sum 'K2 Na1 Ca1 Au1'
_space_group_name_H-M_alt 'P 4/m m m'
_space_group_IT_number 123
_space_group_name_Hall '-P 4 2'
_cell_length_a 6.4112
_cell_length_b 6.4112
_cell_length_c 5.8632
_cell_angle_alpha 90.00
_cell_angle_beta 90.00
_cell_angle_gamma 90.00
loop_
_atom_site_label
_atom_site_type_symbol
_atom_site_fract_x
_atom_site_fract_y
_atom_site_fract_z
K1 K 0.0000 0.5000 0.0000
Na1 Na 0.0000 0.0000 0.5000
Ca1 Ca 0.5000 0.5000 0.5000
Au1 Au 0.5000 0.5000 0.0000

***

[12]
# K2NaCaAu | the Alexandria database | GGA-PBE | relaxed
# final energy = -1.708 eV/atom
# energy of formation from the pure elements = 0.05 eV/atom
# energy above the lowest structure with this stoichiometry = 153.7 meV per atom
# total magnetic moment = 0.00 μB/f.u.
data_K2NaCaAu
_chemical_formula_sum 'K2 Na1 Ca1 Au1'
_space_group_name_H-M_alt 'P 4/m m m'
_space_group_IT_number 123
_space_group_name_Hall '-P 4 2'
_cell_length_a 6.4183
_cell_length_b 6.4183
_cell_length_c 5.8064
_cell_angle_alpha 90.00
_cell_angle_beta 90.00
_cell_angle_gamma 90.00
loop_
_atom_site_label
_atom_site_type_symbol
_atom_site_fract_x
_atom_site_fract_y
_atom_site_fract_z
K1 K 0.0000 0.5000 0.0000
Na1 Na 0.0000 0.0000 0.5000
Ca1 Ca 0.5000 0.5000 0.5000
Au1 Au 0.0000 0.0000 0.0000

***

What is the final energy in the ninth record?
-2.077 eV/atom

***

Which formula does entry 4 have?
KCaAu

***

total magnetic moment of number 5 (K2CaAu)?
0.00 μB/f.u.